# GGA-PBE MgCuRh2, optimized geometry
# Fermi-level density of states: 10.3 states/eV/cell
# electronic total energy: -5.25 eV per atom
# formation energy: -156 meV per atom
# theoretical density: 8.499 g cm⁻³
data_MgCuRh2
_space_group_name_H-M_alt 'I -4 m 2'
_space_group_IT_number 119
_space_group_name_Hall 'I -4 -2'
_cell_length_a 3.859
_cell_length_b 3.859
_cell_length_c 7.705
_cell_angle_alpha 90.00
_cell_angle_beta 90.00
_cell_angle_gamma 90.00
loop_
_atom_site_label
_atom_site_type_symbol
_atom_site_fract_x
_atom_site_fract_y
_atom_site_fract_z
Mg1 Mg 0.000 0.000 0.000
Cu1 Cu 0.000 0.500 0.250
Rh1 Rh 0.000 0.000 0.500
Rh2 Rh 0.000 0.500 0.750

=====

# GGA-PBE Mg5CuRh4, optimized geometry
# Fermi-level density of states: 6.8 states/eV/cell
# electronic total energy: -4.57 eV per atom
# formation energy: -419 meV per atom
# theoretical density: 6.461 g cm⁻³
data_Mg5CuRh4
_space_group_name_H-M_alt 'P 4/m m m'
_space_group_IT_number 123
_space_group_name_Hall '-P 4 2'
_cell_length_a 3.168
_cell_length_b 3.168
_cell_length_c 15.282
_cell_angle_alpha 90.00
_cell_angle_beta 90.00
_cell_angle_gamma 90.00
loop_
_atom_site_label
_atom_site_type_symbol
_atom_site_fract_x
_atom_site_fract_y
_atom_site_fract_z
Mg1 Mg 0.000 0.000 0.000
Mg2 Mg 0.000 0.000 0.200
Mg3 Mg 0.000 0.000 0.396
Cu1 Cu 0.500 0.500 0.500
Rh1 Rh 0.500 0.500 0.101
Rh2 Rh 0.500 0.500 0.304

=====

# GGA-PBE MgCuRh2, optimized geometry
# Fermi-level density of states: 14.2 states/eV/cell
# electronic total energy: -5.18 eV per atom
# formation energy: -80 meV per atom
# theoretical density: 8.436 g cm⁻³
data_MgCuRh2
_space_group_name_H-M_alt 'R -3 m'
_space_group_IT_number 166
_space_group_name_Hall '-R 3 2"'
_cell_length_a 2.7982
_cell_length_b 2.7982
_cell_length_c 25.5723
_cell_angle_alpha 90.00
_cell_angle_beta 90.00
_cell_angle_gamma 120.00
loop_
_atom_site_label
_atom_site_type_symbol
_atom_site_fract_x
_atom_site_fract_y
_atom_site_fract_z
Mg1 Mg 0.0000 0.0000 0.0000
Cu1 Cu 0.0000 0.0000 0.5000
Rh1 Rh 0.0000 0.0000 0.2484

=====

# GGA-PBE MgCuRh2, optimized geometry
# Fermi-level density of states: 15.3 states/eV/cell
# electronic total energy: -5.08 eV per atom
# formation energy: 23 meV per atom
# theoretical density: 8.346 g cm⁻³
data_MgCuRh2
_space_group_name_H-M_alt 'R 3 m'
_space_group_IT_number 160
_space_group_name_Hall 'R 3 -2"'
_cell_length_a 2.7833
_cell_length_b 2.7833
_cell_length_c 26.1286
_cell_angle_alpha 90.00
_cell_angle_beta 90.00
_cell_angle_gamma 120.00
loop_
_atom_site_label
_atom_site_type_symbol
_atom_site_fract_x
_atom_site_fract_y
_atom_site_fract_z
Mg1 Mg 0.0000 0.0000 0.0000
Cu1 Cu 0.0000 0.0000 0.7518
Rh1 Rh 0.0000 0.0000 0.2488
Rh2 Rh 0.0000 0.0000 0.4994

=====

# GGA-PBE Mg3CuRh, optimized geometry
# polymorph energy (0 for the lowest one): 0 meV/atom
# Fermi-level density of states: 8.6 states/eV/cell
# electronic total energy: -3.52 eV per atom
# formation energy: -278 meV per atom
# theoretical density: 4.775 g cm⁻³
data_Mg3CuRh
_space_group_name_H-M_alt 'C m c m'
_space_group_IT_number 63
_space_group_name_Hall '-C 2c 2'
_cell_length_a 4.506
_cell_length_b 16.388
_cell_length_c 4.509
_cell_angle_alpha 90.00
_cell_angle_beta 90.00
_cell_angle_gamma 90.00
loop_
_atom_site_label
_atom_site_type_symbol
_atom_site_fract_x
_atom_site_fract_y
_atom_site_fract_z
Mg1 Mg 0.000 0.064 0.250
Mg2 Mg 0.000 0.249 0.250
Mg3 Mg 0.000 0.433 0.250
Cu1 Cu 0.000 0.341 0.750
Rh1 Rh 0.000 0.155 0.750

=====

# GGA-PBE MgCuRh2, optimized geometry
# Fermi-level density of states: 4.7 states/eV/cell
# electronic total energy: -5.19 eV per atom
# formation energy: -95 meV per atom
# theoretical density: 8.399 g cm⁻³
data_MgCuRh2
_space_group_name_H-M_alt 'P 4 m m'
_space_group_IT_number 99
_cell_length_a 2.908
_cell_length_b 2.908
_cell_length_c 6.867
_cell_angle_alpha 90.00
_cell_angle_beta 90.00
_cell_angle_gamma 90.00
loop_
_space_group_symop_operation_xyz
'x,y,z'
'-y,x,z'
'-x,-y,z'
'y,-x,z'
'-x,y,z'
'y,x,z'
'x,-y,z'
'-y,-x,z'
loop_
_atom_site_label
_atom_site_type_symbol
_atom_site_fract_x
_atom_site_fract_y
_atom_site_fract_z
Mg1 Mg 0.000 0.000 0.000
Cu1 Cu 0.500 0.500 0.744
Rh1 Rh 0.000 0.000 0.512
Rh2 Rh 0.500 0.500 0.260

=====

# GGA-PBE MgCu4Rh, optimized geometry
# Fermi-level density of states: 8.5 states/eV/cell
# electronic total energy: -4.32 eV per atom
# formation energy: -99 meV per atom
# theoretical density: 7.889 g cm⁻³
data_MgCu4Rh
_space_group_name_H-M_alt 'F -4 3 m'
_space_group_IT_number 216
_space_group_name_Hall 'F -4 2 3'
_cell_length_a 6.848
_cell_length_b 6.848
_cell_length_c 6.848
_cell_angle_alpha 90.00
_cell_angle_beta 90.00
_cell_angle_gamma 90.00
loop_
_atom_site_label
_atom_site_type_symbol
_atom_site_fract_x
_atom_site_fract_y
_atom_site_fract_z
Mg1 Mg 0.000 0.000 0.000
Cu1 Cu 0.125 0.125 0.375
Rh1 Rh 0.250 0.250 0.750

=====

# GGA-PBE MgCuRh6, optimized geometry
# Fermi-level density of states: 17.6 states/eV/cell
# electronic total energy: -6.33 eV per atom
# formation energy: -101 meV per atom
# theoretical density: 10.313 g cm⁻³
data_MgCuRh6
_space_group_name_H-M_alt 'C 1 2/m 1'
_space_group_IT_number 12
_cell_length_a 8.622
_cell_length_b 3.836
_cell_length_c 7.672
_cell_angle_alpha 90.00
_cell_angle_beta 116.48
_cell_angle_gamma 90.00
loop_
_space_group_symop_operation_xyz
'x,y,z'
'-x,-y,-z'
'-x,y,-z'
'x,-y,z'
'x+1/2,y+1/2,z'
'-x+1/2,-y+1/2,-z'
'-x+1/2,y+1/2,-z'
'x+1/2,-y+1/2,z'
loop_
_atom_site_label
_atom_site_type_symbol
_atom_site_fract_x
_atom_site_fract_y
_atom_site_fract_z
Mg1 Mg 0.000 0.000 0.000
Cu1 Cu 0.000 0.000 0.500
Rh1 Rh 0.001 0.500 0.745
Rh2 Rh 0.249 0.000 0.872
Rh3 Rh 0.249 0.500 0.623

=====

# GGA-PBE Mg4CuRh2, optimized geometry
# polymorph energy (0 for the lowest one): 166 meV/atom
# Fermi-level density of states: 7.8 states/eV/cell
# electronic total energy: -3.74 eV per atom
# formation energy: -147 meV per atom
# theoretical density: 5.027 g cm⁻³
data_Mg4CuRh2
_space_group_name_H-M_alt 'C 1 2/m 1'
_space_group_IT_number 12
_cell_length_a 13.574
_cell_length_b 2.961
_cell_length_c 6.792
_cell_angle_alpha 90.00
_cell_angle_beta 117.51
_cell_angle_gamma 90.00
loop_
_space_group_symop_operation_xyz
'x,y,z'
'-x,-y,-z'
'-x,y,-z'
'x,-y,z'
'x+1/2,y+1/2,z'
'-x+1/2,-y+1/2,-z'
'-x+1/2,y+1/2,-z'
'x+1/2,-y+1/2,z'
loop_
_atom_site_label
_atom_site_type_symbol
_atom_site_fract_x
_atom_site_fract_y
_atom_site_fract_z
Mg1 Mg 0.094 0.000 0.231
Mg2 Mg 0.142 0.500 0.875
Cu1 Cu 0.000 0.000 0.500
Rh1 Rh 0.224 0.000 0.654

=====

# GGA-PBE Mg2CuRh9, optimized geometry
# Fermi-level density of states: 21.3 states/eV/cell
# electronic total energy: -6.14 eV per atom
# formation energy: -23 meV per atom
# theoretical density: 9.864 g cm⁻³
data_Mg2CuRh9
_space_group_name_H-M_alt 'P 4/m m m'
_space_group_IT_number 123
_space_group_name_Hall '-P 4 2'
_cell_length_a 4.535
_cell_length_b 4.535
_cell_length_c 8.498
_cell_angle_alpha 90.00
_cell_angle_beta 90.00
_cell_angle_gamma 90.00
loop_
_atom_site_label
_atom_site_type_symbol
_atom_site_fract_x
_atom_site_fract_y
_atom_site_fract_z
Mg1 Mg 0.000 0.000 0.173
Cu1 Cu 0.000 0.000 0.500
Rh1 Rh 0.000 0.500 0.000
Rh2 Rh 0.000 0.500 0.339
Rh3 Rh 0.500 0.500 0.168
Rh4 Rh 0.500 0.500 0.500

=====

# GGA-PBE Mg3CuRh, optimized geometry
# polymorph energy (0 for the lowest one): 522 meV/atom
# Fermi-level density of states: 2.5 states/eV/cell
# electronic total energy: -3.00 eV per atom
# formation energy: 243 meV per atom
# theoretical density: 3.442 g cm⁻³
data_Mg3CuRh
_space_group_name_H-M_alt 'P m -3 m'
_space_group_IT_number 221
_space_group_name_Hall '-P 4 2 3'
_cell_length_a 4.870
_cell_length_b 4.870
_cell_length_c 4.870
_cell_angle_alpha 90.00
_cell_angle_beta 90.00
_cell_angle_gamma 90.00
loop_
_atom_site_label
_atom_site_type_symbol
_atom_site_fract_x
_atom_site_fract_y
_atom_site_fract_z
Mg1 Mg 0.000 0.000 0.500
Cu1 Cu 0.500 0.500 0.500
Rh1 Rh 0.000 0.000 0.000

=====

# GGA-PBE Mg2Cu2Rh, optimized geometry
# polymorph energy (0 for the lowest one): 103 meV/atom
# Fermi-level density of states: 5.6 states/eV/cell
# electronic total energy: -3.85 eV per atom
# formation energy: -104 meV per atom
# theoretical density: 6.023 g cm⁻³
data_Mg2Cu2Rh
_space_group_name_H-M_alt 'P 4/m b m'
_space_group_IT_number 127
_space_group_name_Hall '-P 4 2ab'
_cell_length_a 6.697
_cell_length_b 6.697
_cell_length_c 3.425
_cell_angle_alpha 90.00
_cell_angle_beta 90.00
_cell_angle_gamma 90.00
loop_
_atom_site_label
_atom_site_type_symbol
_atom_site_fract_x
_atom_site_fract_y
_atom_site_fract_z
Mg1 Mg 0.178 0.322 0.000
Cu1 Cu 0.125 0.625 0.500
Rh1 Rh 0.000 0.000 0.500